TlAs: optimized geometry, GGA-PBEsol.

DFT formation energy = 0.3143 eV per atom
Fermi-level density of states = 1.08 states/eV/cell

Unit cell a=3.1768 b=3.1768 c=5.3668 alpha=90.00 beta=90.00 gamma=120.00
Closest atoms and distances in Å follow each position.
Element x y z (fractional)
Tl (0.3333, 0.6667, 0.5000)  6 Tl 3.18, 6 As 3.25
As (0.0000, 0.0000, 0.0000)  6 As 3.18, 6 Tl 3.25